# NpMnAl2O8

A geometry-optimized NpMnAl2O8 structure (GGA+U, Alexandria via LeMat-Bulk).

The structure in CIF format:
```
data_NpMnAl2O8
_cell_length_a 6.418
_cell_length_b 6.550
_cell_length_c 6.055
_cell_angle_alpha 90.00
_cell_angle_beta 90.00
_cell_angle_gamma 90.00
_symmetry_space_group_name_H-M 'C m m m'
_symmetry_Int_Tables_number 65
_symmetry_space_group_name_Hall '-C 2 2'
loop_
_atom_site_label
_atom_site_type_symbol
_atom_site_fract_x
_atom_site_fract_y
_atom_site_fract_z
Np1 Np 0.000 0.000 0.000
Mn1 Mn 0.000 0.000 0.500
Al1 Al 0.000 0.500 0.268
O1 O 0.000 0.201 0.263
O2 O 0.181 0.500 0.000
O3 O 0.195 0.500 0.500
```

- VASP energy (eV per atom) = -8.0446
- N(E_F) (states/eV/atom) = 0.290